The following is a DFT calculation (GGA-PBE) of an optimized crystal structure of Y4Nb2Co3N3.

Cell lengths 5.655, 5.655, 13.332 Å; angles 90.15, 90.15, 60.41 degrees
Element x y z (fractional)
Y  0.158  0.508  0.097
Y  0.169  0.831  0.621
Y  0.169  0.831  0.879
Y  0.492  0.842  0.403
Y  0.508  0.158  0.597
Y  0.831  0.169  0.121
Y  0.831  0.169  0.379
Y  0.842  0.492  0.903
Nb  0.165  0.508  0.410
Nb  0.492  0.835  0.090
Nb  0.508  0.165  0.910
Nb  0.835  0.492  0.590
Co  0.164  0.341  0.747
Co  0.335  0.665  0.250
Co  0.341  0.164  0.247
Co  0.659  0.836  0.753
Co  0.665  0.335  0.750
Co  0.836  0.659  0.253
N  0.143  0.189  0.498
N  0.189  0.143  0.998
N  0.500  0.500  0.000
N  0.500  0.500  0.500
N  0.811  0.857  0.002
N  0.857  0.811  0.502

Total energy: -8.34 eV/atom
Calculated volume: 15.45 Å³/atom
Symmetry: C2/c (15)